# 1
Here is a geometry-optimized HfTi2Te3 structure from the Alexandria database. Energies are from PBE.

## Properties
As for the crystal system: monoclinic. The total energy is -0.4677 Ry per atom. The calculation puts the size of the total moment at 1.0 μB/f.u. The raw formation energy is -0.50 eV per atom. The value obtained for the density of states at the Fermi level is 4.659 states/eV/f.u.

```
12
Lattice="10.376 -1.845 0.000 10.376 1.845 0.000 -1.108 0.000 7.442" Properties=species:S:1:pos:R:3 pbc="T T T"
Hf 2.782 0.000 3.555
Hf 16.862 0.000 3.887
Ti 2.727 0.000 7.245
Ti 8.865 0.000 4.615
Ti 10.779 0.000 2.826
Ti 16.917 0.000 0.196
Te 1.271 0.000 1.080
Te 4.891 0.000 5.589
Te 7.896 0.000 2.006
Te 11.748 0.000 5.435
Te 14.753 0.000 1.852
Te 18.373 0.000 6.362
```


# 2
Here is a geometry-optimized HfTiTe3 structure from the Alexandria database. Energies are from PBE.

## Properties
As for the crystal system: orthorhombic. Its excess energy over the best structure of this formula in the dataset is 5.9 kJ per mole of atoms. The total energy is -0.4511 Ry per atom. The calculation puts the size of the total moment at 1.3 μB/f.u. The raw formation energy is -0.68 eV per atom. The value obtained for the density of states at the Fermi level is 3.602 states/eV/f.u.

```
10
Lattice="1.963 -10.545 0.000 1.963 10.545 0.000 0.000 0.000 6.919" Properties=species:S:1:pos:R:3 pbc="T T T"
Hf 1.963 7.107 3.460
Hf 1.963 -7.107 0.000
Ti 1.963 3.528 3.908
Ti 1.963 -3.528 0.448
Te 1.963 8.825 1.267
Te 1.963 5.391 5.989
Te 1.963 1.951 1.444
Te 1.963 -1.951 4.904
Te 1.963 -5.391 2.529
Te 1.963 -8.825 4.726
```


# 3
Here is a geometry-optimized Hf2TiTe structure from the Alexandria database. Energies are from PBE.

## Properties
As for the crystal system: monoclinic. The total energy is -0.5888 Ry per atom. The calculation puts the size of the total moment at 0.0 μB/f.u. The raw formation energy is -0.28 eV per atom. The value obtained for the density of states at the Fermi level is 4.268 states/eV/f.u.

```
16
Lattice="14.786 0.000 0.000 0.000 3.608 0.000 -0.002 0.000 6.713" Properties=species:S:1:pos:R:3 pbc="T T T"
Hf 1.632 0.000 0.144
Hf 1.637 0.000 3.212
Hf 5.755 1.804 3.501
Hf 5.760 1.804 6.570
Hf 9.025 1.804 0.144
Hf 9.030 1.804 3.212
Hf 13.148 0.000 3.501
Hf 13.153 0.000 6.570
Ti 0.078 1.804 5.028
Ti 7.313 0.000 1.685
Ti 7.472 0.000 5.028
Ti 14.706 1.804 1.685
Te 3.123 1.804 5.038
Te 4.268 0.000 1.675
Te 10.516 0.000 5.038
Te 11.661 1.804 1.675
```


# 4
Here is a geometry-optimized HfTi3Te2 structure from the Alexandria database. Energies are from PBE.

## Properties
As for the crystal system: monoclinic. The total energy is -0.5014 Ry per atom. The calculation puts the size of the total moment at 0.0 μB/f.u. The raw formation energy is -0.17 eV per atom. The value obtained for the density of states at the Fermi level is 6.239 states/eV/f.u.

```
12
Lattice="7.699 -1.736 0.000 7.699 1.736 0.000 -4.320 0.000 9.611" Properties=species:S:1:pos:R:3 pbc="T T T"
Hf 0.353 0.000 1.559
Hf 10.725 0.000 8.051
Ti -0.741 0.000 4.988
Ti 0.349 0.000 7.890
Ti 5.640 0.000 3.018
Ti 5.437 0.000 6.593
Ti 10.728 0.000 1.720
Ti 11.819 0.000 4.622
Te -2.096 0.000 9.056
Te 2.394 0.000 5.978
Te 8.684 0.000 3.633
Te 13.174 0.000 0.555
```


# 5
Here is a geometry-optimized Hf3TiTe structure from the Alexandria database. Energies are from PBE.

## Properties
As for the crystal system: cubic. Its excess energy over the best structure of this formula in the dataset is 77.2 kJ per mole of atoms. The total energy is -0.5443 Ry per atom. The calculation puts the size of the total moment at 0.0 μB/f.u. The raw formation energy is 0.77 eV per atom. The value obtained for the density of states at the Fermi level is 9.335 states/eV/f.u.

```
5
Lattice="4.975 0.000 0.000 0.000 4.975 0.000 0.000 0.000 4.975" Properties=species:S:1:pos:R:3 pbc="T T T"
Hf 0.000 0.000 2.488
Hf 0.000 2.488 0.000
Hf 2.488 0.000 0.000
Ti 0.000 0.000 0.000
Te 2.488 2.488 2.488
```


# 6
Here is a geometry-optimized Hf2Ti2Te structure from the Alexandria database. Energies are from PBE.

## Properties
As for the crystal system: tetragonal. The total energy is -0.5747 Ry per atom. The calculation puts the size of the total moment at 0.0 μB/f.u. The raw formation energy is -0.05 eV per atom. The value obtained for the density of states at the Fermi level is 1.666 states/eV/f.u.

```
10
Lattice="7.112 0.000 0.000 0.000 7.112 0.000 0.000 0.000 4.043" Properties=species:S:1:pos:R:3 pbc="T T T"
Hf 1.195 2.361 0.000
Hf 2.361 5.917 0.000
Hf 4.750 1.195 0.000
Hf 5.917 4.750 0.000
Ti 0.919 4.475 2.021
Ti 2.637 0.919 2.021
Ti 4.475 6.192 2.021
Ti 6.192 2.637 2.021
Te 0.000 0.000 2.021
Te 3.556 3.556 2.021
```


# 7
Here is a geometry-optimized Hf3TiTe20 structure from the Alexandria database. Energies are from PBE.

## Properties
As for the crystal system: orthorhombic. The total energy is -0.3398 Ry per atom. The calculation puts the size of the total moment at 0.0 μB/f.u. The raw formation energy is -0.43 eV per atom. The value obtained for the density of states at the Fermi level is 2.068 states/eV/f.u.

```
24
Lattice="27.637 0.000 0.000 0.000 1.999 7.806 0.000 -1.999 7.806" Properties=species:S:1:pos:R:3 pbc="T T T"
Hf 0.000 0.000 0.000
Hf 6.963 0.000 5.966
Hf 20.674 0.000 5.966
Ti 13.819 0.000 0.151
Te 0.000 0.000 5.589
Te 1.390 0.000 9.478
Te 2.558 0.000 14.066
Te 4.377 0.000 7.458
Te 5.606 0.000 12.075
Te 6.906 0.000 0.378
Te 8.387 0.000 12.129
Te 9.477 0.000 7.573
Te 11.350 0.000 14.250
Te 12.453 0.000 9.543
Te 13.819 0.000 5.821
Te 15.184 0.000 9.543
Te 16.288 0.000 14.250
Te 18.160 0.000 7.573
Te 19.250 0.000 12.129
Te 20.732 0.000 0.378
Te 22.032 0.000 12.075
Te 23.260 0.000 7.458
Te 25.080 0.000 14.066
Te 26.247 0.000 9.478
```


# 8
Here is a geometry-optimized HfTi3Te8 structure from the Alexandria database. Energies are from PBE.

## Properties
As for the crystal system: monoclinic. The total energy is -0.4127 Ry per atom. The calculation puts the size of the total moment at 0.0 μB/f.u. The raw formation energy is -0.72 eV per atom. The value obtained for the density of states at the Fermi level is 4.689 states/eV/f.u.

```
12
Lattice="6.589 -3.799 0.000 6.589 3.799 0.000 -4.443 0.000 7.338" Properties=species:S:1:pos:R:3 pbc="T T T"
Hf 0.000 0.000 0.000
Ti 3.294 1.899 0.000
Ti 3.294 -1.899 0.000
Ti 6.589 0.000 0.000
Te 2.248 0.000 1.770
Te 5.459 1.851 1.770
Te -0.047 0.000 5.618
Te 3.276 1.851 5.569
Te 5.459 -1.851 1.770
Te 8.782 0.000 1.720
Te 3.276 -1.851 5.569
Te 6.487 0.000 5.568
```